## NbAsRhSe2 (PBEsol)

Data for a relaxed structure of NbAsRhSe2.

Results
The calculation puts the energy relative to the lowest polymorph listed for this composition at 0 meV/atom. The calculation puts the formation energy from raw total energies at 616 meV/atom. The symmetry is P4/mmm, No. 123.

CIF file:
```
data_NbAsRhSe2
_chemical_formula_sum 'Nb1 As1 Rh1 Se2'
_space_group_name_H-M_alt 'P 1'
_space_group_IT_number 1
_cell_length_a 4.545
_cell_length_b 4.815
_cell_length_c 4.815
_cell_angle_alpha 90.00
_cell_angle_beta 90.00
_cell_angle_gamma 90.00
loop_
_space_group_symop_operation_xyz
'x,y,z'
loop_
_atom_site_label
_atom_site_fract_x
_atom_site_fract_y
_atom_site_fract_z
_atom_site_occupancy
Rh1 0.000 0.000 0.000 1
Se1 0.000 0.500 0.000 1
Se2 0.000 0.000 0.500 1
As1 0.500 0.000 0.000 1
Nb1 0.500 0.500 0.500 1
```

---

## Nb2As2Ru (PBEsol)

Data for a relaxed structure of Nb2As2Ru.

Results
For the formation energy, the calculation gives 1.98 eV/f.u. The symmetry is I4/mmm, No. 139.

CIF file:
```
data_Nb2As2Ru
_chemical_formula_sum 'Nb2 As2 Ru1'
_space_group_name_H-M_alt 'P 1'
_space_group_IT_number 1
_cell_length_a 4.301
_cell_length_b 4.301
_cell_length_c 5.823
_cell_angle_alpha 111.67
_cell_angle_beta 111.67
_cell_angle_gamma 90.00
loop_
_space_group_symop_operation_xyz
'x,y,z'
loop_
_atom_site_label
_atom_site_fract_x
_atom_site_fract_y
_atom_site_fract_z
_atom_site_occupancy
Ru1 0.000 0.000 0.000 1
As1 0.616 0.616 0.232 1
Nb1 0.750 0.250 0.500 1
As2 0.384 0.384 0.768 1
Nb2 0.250 0.750 0.500 1
```

---

## NbSbAs3 (PBEsol)

Data for a relaxed structure of NbSbAs3.

Results
The calculation puts the formation energy from raw total energies at 420 meV/atom. The symmetry is Pm-3m, No. 221.

CIF file:
```
data_NbSbAs3
_chemical_formula_sum 'Nb1 Sb1 As3'
_space_group_name_H-M_alt 'P 1'
_space_group_IT_number 1
_cell_length_a 4.955
_cell_length_b 4.955
_cell_length_c 4.955
_cell_angle_alpha 90.00
_cell_angle_beta 90.00
_cell_angle_gamma 90.00
loop_
_space_group_symop_operation_xyz
'x,y,z'
loop_
_atom_site_label
_atom_site_fract_x
_atom_site_fract_y
_atom_site_fract_z
_atom_site_occupancy
As1 0.000 0.000 0.500 1
Sb1 0.500 0.500 0.500 1
As2 0.000 0.500 0.000 1
Nb1 0.000 0.000 0.000 1
As3 0.500 0.000 0.000 1
```

---

## Nb2SbAs2 (PBEsol)

Data for a relaxed structure of Nb2SbAs2.

Results
The calculation puts the formation energy from raw total energies at -193 meV/atom. The symmetry is I4/mmm, No. 139.

CIF file:
```
data_Nb2SbAs2
_chemical_formula_sum 'Nb2 Sb1 As2'
_space_group_name_H-M_alt 'P 1'
_space_group_IT_number 1
_cell_length_a 3.710
_cell_length_b 3.710
_cell_length_c 7.289
_cell_angle_alpha 104.74
_cell_angle_beta 104.74
_cell_angle_gamma 90.00
loop_
_space_group_symop_operation_xyz
'x,y,z'
loop_
_atom_site_label
_atom_site_fract_x
_atom_site_fract_y
_atom_site_fract_z
_atom_site_occupancy
As1 0.250 0.750 0.500 1
Sb1 0.000 0.000 0.000 1
Nb1 0.390 0.390 0.781 1
As2 0.750 0.250 0.500 1
Nb2 0.610 0.610 0.219 1
```

---

## NbSbAs2Se (PBEsol)

Data for a relaxed structure of NbSbAs2Se.

Results
The calculation puts the formation energy from raw total energies at 312 meV/atom. The symmetry is P4/mmm, No. 123.

CIF file:
```
data_NbSbAs2Se
_chemical_formula_sum 'Nb1 Sb1 As2 Se1'
_space_group_name_H-M_alt 'P 1'
_space_group_IT_number 1
_cell_length_a 4.874
_cell_length_b 5.011
_cell_length_c 5.011
_cell_angle_alpha 90.00
_cell_angle_beta 90.00
_cell_angle_gamma 90.00
loop_
_space_group_symop_operation_xyz
'x,y,z'
loop_
_atom_site_label
_atom_site_fract_x
_atom_site_fract_y
_atom_site_fract_z
_atom_site_occupancy
As1 0.000 0.500 0.000 1
As2 0.000 0.000 0.500 1
Nb1 0.000 0.000 0.000 1
Sb1 0.500 0.500 0.500 1
Se1 0.500 0.000 0.000 1
```

---

## Nb2AsSe (PBEsol)

Data for a relaxed structure of Nb2AsSe.

Results
The calculation puts the formation energy from raw total energies at -485 meV/atom. The symmetry is Fm-3m, No. 225.

CIF file:
```
data_Nb2AsSe
_chemical_formula_sum 'Nb2 As1 Se1'
_space_group_name_H-M_alt 'P 1'
_space_group_IT_number 1
_cell_length_a 4.518
_cell_length_b 4.518
_cell_length_c 4.518
_cell_angle_alpha 60.00
_cell_angle_beta 60.00
_cell_angle_gamma 60.00
loop_
_space_group_symop_operation_xyz
'x,y,z'
loop_
_atom_site_label
_atom_site_fract_x
_atom_site_fract_y
_atom_site_fract_z
_atom_site_occupancy
Nb1 0.250 0.250 0.250 1
Nb2 0.750 0.750 0.750 1
Se1 0.500 0.500 0.500 1
As1 0.000 0.000 0.000 1
```

---

## SrNbAs2Se (PBEsol)

Data for a relaxed structure of SrNbAs2Se.

Results
The calculation puts the formation energy from raw total energies at -602 meV/atom. The symmetry is P4/mmm, No. 123.

CIF file:
```
data_SrNbAs2Se
_chemical_formula_sum 'Sr1 Nb1 As2 Se1'
_space_group_name_H-M_alt 'P 1'
_space_group_IT_number 1
_cell_length_a 4.981
_cell_length_b 4.981
_cell_length_c 5.098
_cell_angle_alpha 90.00
_cell_angle_beta 90.00
_cell_angle_gamma 90.00
loop_
_space_group_symop_operation_xyz
'x,y,z'
loop_
_atom_site_label
_atom_site_fract_x
_atom_site_fract_y
_atom_site_fract_z
_atom_site_occupancy
As1 0.000 0.500 0.000 1
Nb1 0.000 0.000 0.000 1
Se1 0.000 0.000 0.500 1
As2 0.500 0.000 0.000 1
Sr1 0.500 0.500 0.500 1
```

---

## NbTcAs2Se (PBEsol)

Data for a relaxed structure of NbTcAs2Se.

Results
The calculation puts the formation energy from raw total energies at 1010 meV/atom. The symmetry is P4/mmm, No. 123.

CIF file:
```
data_NbTcAs2Se
_chemical_formula_sum 'Nb1 Tc1 As2 Se1'
_space_group_name_H-M_alt 'P 1'
_space_group_IT_number 1
_cell_length_a 4.866
_cell_length_b 4.956
_cell_length_c 4.956
_cell_angle_alpha 90.00
_cell_angle_beta 90.00
_cell_angle_gamma 90.00
loop_
_space_group_symop_operation_xyz
'x,y,z'
loop_
_atom_site_label
_atom_site_fract_x
_atom_site_fract_y
_atom_site_fract_z
_atom_site_occupancy
Se1 0.500 0.000 0.000 1
Tc1 0.500 0.500 0.500 1
As1 0.000 0.500 0.000 1
Nb1 0.000 0.000 0.000 1
As2 0.000 0.000 0.500 1
```

---

## NbTlAsSe2 (PBEsol)

Data for a relaxed structure of NbTlAsSe2.

Results
The calculation puts the formation energy from raw total energies at 1274 meV/atom. The symmetry is P4/mmm, No. 123.

CIF file:
```
data_NbTlAsSe2
_chemical_formula_sum 'Nb1 Tl1 As1 Se2'
_space_group_name_H-M_alt 'P 1'
_space_group_IT_number 1
_cell_length_a 5.069
_cell_length_b 5.179
_cell_length_c 5.179
_cell_angle_alpha 90.00
_cell_angle_beta 90.00
_cell_angle_gamma 90.00
loop_
_space_group_symop_operation_xyz
'x,y,z'
loop_
_atom_site_label
_atom_site_fract_x
_atom_site_fract_y
_atom_site_fract_z
_atom_site_occupancy
As1 0.500 0.000 0.000 1
Se1 0.000 0.000 0.500 1
Nb1 0.500 0.500 0.500 1
Se2 0.000 0.500 0.000 1
Tl1 0.000 0.000 0.000 1
```

---

## NbAsWSe2 (PBEsol)

Data for a relaxed structure of NbAsWSe2.

Results
The calculation puts the formation energy from raw total energies at 1156 meV/atom. The symmetry is P4/mmm, No. 123.

CIF file:
```
data_NbAsWSe2
_chemical_formula_sum 'Nb1 As1 W1 Se2'
_space_group_name_H-M_alt 'P 1'
_space_group_IT_number 1
_cell_length_a 4.889
_cell_length_b 4.889
_cell_length_c 4.983
_cell_angle_alpha 90.00
_cell_angle_beta 90.00
_cell_angle_gamma 90.00
loop_
_space_group_symop_operation_xyz
'x,y,z'
loop_
_atom_site_label
_atom_site_fract_x
_atom_site_fract_y
_atom_site_fract_z
_atom_site_occupancy
Se1 0.000 0.500 0.000 1
Se2 0.500 0.000 0.000 1
Nb1 0.000 0.000 0.000 1
As1 0.000 0.000 0.500 1
W1 0.500 0.500 0.500 1
```

---

## YNbAsSe2 (PBEsol)

Data for a relaxed structure of YNbAsSe2.

Results
The calculation puts the energy relative to the lowest polymorph listed for this composition at 0 meV/atom. The calculation puts the formation energy from raw total energies at -477 meV/atom. The symmetry is P4/mmm, No. 123.

CIF file:
```
data_YNbAsSe2
_chemical_formula_sum 'Y1 Nb1 As1 Se2'
_space_group_name_H-M_alt 'P 1'
_space_group_IT_number 1
_cell_length_a 4.924
_cell_length_b 4.924
_cell_length_c 5.016
_cell_angle_alpha 90.00
_cell_angle_beta 90.00
_cell_angle_gamma 90.00
loop_
_space_group_symop_operation_xyz
'x,y,z'
loop_
_atom_site_label
_atom_site_fract_x
_atom_site_fract_y
_atom_site_fract_z
_atom_site_occupancy
Se1 0.500 0.000 0.000 1
Se2 0.000 0.500 0.000 1
As1 0.000 0.000 0.500 1
Nb1 0.000 0.000 0.000 1
Y1 0.500 0.500 0.500 1
```

---

## YNbAsSe2 (PBEsol)

Data for a relaxed structure of YNbAsSe2.

Results
The calculation puts the energy relative to the lowest polymorph listed for this composition at 968 meV/atom. The calculation puts the formation energy from raw total energies at 492 meV/atom. The symmetry is P4/mmm, No. 123.

CIF file:
```
data_YNbAsSe2
_chemical_formula_sum 'Y1 Nb1 As1 Se2'
_space_group_name_H-M_alt 'P 1'
_space_group_IT_number 1
_cell_length_a 5.219
_cell_length_b 5.219
_cell_length_c 5.230
_cell_angle_alpha 90.00
_cell_angle_beta 90.00
_cell_angle_gamma 90.00
loop_
_space_group_symop_operation_xyz
'x,y,z'
loop_
_atom_site_label
_atom_site_fract_x
_atom_site_fract_y
_atom_site_fract_z
_atom_site_occupancy
Y1 0.000 0.000 0.000 1
Se1 0.000 0.500 0.000 1
Se2 0.500 0.000 0.000 1
As1 0.000 0.000 0.500 1
Nb1 0.500 0.500 0.500 1
```

---

## NbSiAs (PBEsol)

Data for a relaxed structure of NbSiAs.

Results
The calculation puts the formation energy from raw total energies at -677 meV/atom. The symmetry is P4/nmm, No. 129.

CIF file:
```
data_NbSiAs
_chemical_formula_sum 'Nb2 Si2 As2'
_space_group_name_H-M_alt 'P 1'
_space_group_IT_number 1
_cell_length_a 3.481
_cell_length_b 3.481
_cell_length_c 7.894
_cell_angle_alpha 90.00
_cell_angle_beta 90.00
_cell_angle_gamma 90.00
loop_
_space_group_symop_operation_xyz
'x,y,z'
loop_
_atom_site_label
_atom_site_fract_x
_atom_site_fract_y
_atom_site_fract_z
_atom_site_occupancy
As1 0.500 0.000 0.611 1
Nb1 0.000 0.500 0.746 1
Nb2 0.500 0.000 0.254 1
Si1 0.500 0.500 0.000 1
Si2 0.000 0.000 0.000 1
As2 0.000 0.500 0.389 1
```